# 1
DFT (GGA-PBE) results for a relaxed structure of LiPmEuSc.

Results
For the density, the calculation gives 4.84 g cm⁻³.

Lattice parameters (Å, degrees): 7.823 7.823 7.823 90.00 90.00 90.00
Space group F-43m (No. 216)
One atom of each set of equivalent atoms:
Li: 0.000 0.000 0.000 [4 per cell]
Pm: 0.250 0.250 0.750 [4 per cell]
Eu: 0.250 0.250 0.250 [4 per cell]
Sc: 0.000 0.000 0.500 [4 per cell]

---

# 2
DFT (GGA-PBE) results for a relaxed structure of In2Co.

Results
For the density, the calculation gives 8.45 g cm⁻³.

Lattice parameters (Å, degrees): 7.075 3.351 9.562 90.00 90.00 90.00
Space group Pnma (No. 62)
One atom of each set of equivalent atoms:
In: 0.015 0.250 0.186 [4 per cell]
In: 0.174 0.750 0.452 [4 per cell]
Co: 0.198 0.250 0.674 [4 per cell]

---

# 3
DFT (GGA-PBE) results for a relaxed structure of Li3Zn.

Results
For the density, the calculation gives 2.18 g cm⁻³.

Lattice parameters (Å, degrees): 2.715 4.436 5.621 90.00 103.78 90.00
Space group P2/m (No. 10)
One atom of each set of equivalent atoms:
Li: 0.000 0.000 0.000 [1 per cell]
Li: 0.472 0.500 0.266 [2 per cell]
Zn: 0.000 0.000 0.500 [1 per cell]

---

# 4
DFT (GGA-PBE) results for a relaxed structure of CrIn2Mo.

Results
For the polymorph energy (0 for the lowest one), the calculation gives 0.443 eV per atom. For the density, the calculation gives 9.03 g cm⁻³.

Lattice parameters (Å, degrees): 6.525 6.525 6.525 90.00 90.00 90.00
Space group Fm-3m (No. 225)
One atom of each set of equivalent atoms:
Cr: 0.000 0.000 0.000 [4 per cell]
In: 0.250 0.250 0.250 [8 per cell]
Mo: 0.000 0.000 0.500 [4 per cell]

---

Summary of energy of formation from the pure elements in eV/atom
0.205; 0.093; -0.084; 0.676
(order as listed above)